Computed, not measured: crystalline TlHg5O6 at its relaxed geometry at the GGA-PBE level of DFT. Values from VASP.

Quantum ESPRESSO input file:
```
&SYSTEM
  ibrav = 0, nat = 12, ntyp = 3
/
ATOMIC_SPECIES
Tl 204.38 Tl.upf
Hg 200.59 Hg.upf
O 16.00 O.upf
CELL_PARAMETERS angstrom
3.156 -5.279 0.000
3.156 5.279 0.000
-2.413 0.000 5.897
ATOMIC_POSITIONS crystal
Tl 0.000 0.000 0.000
Hg 0.173 0.827 0.500
Hg 0.338 0.662 0.000
Hg 0.500 0.500 0.500
Hg 0.662 0.338 0.000
Hg 0.827 0.173 0.500
O 0.147 0.147 0.748
O 0.165 0.483 0.233
O 0.483 0.165 0.233
O 0.517 0.835 0.767
O 0.835 0.517 0.767
O 0.853 0.853 0.252
```

Calculated values
SG: C2/m (12)
total moment: 0.00 Bohr magnetons per cell
E_form (uncorrected): -0.256 eV/atom